# HoIn2Ga (GGA-PBE, relaxed)
# - E above lowest polymorph: 545 meV/atom
# - DOS(E_F): 6.69 states/eV/cell
data_HoIn2Ga
_chemical_formula_sum 'Ho3 In6 Ga3'
_cell_length_a 3.3907
_cell_length_b 3.3907
_cell_length_c 32.8170
_cell_angle_alpha 90.00
_cell_angle_beta 90.00
_cell_angle_gamma 120.00
_symmetry_space_group_name_H-M 'R -3 m'
_symmetry_Int_Tables_number 166
_symmetry_space_group_name_Hall '-R 3 2"'
loop_
_atom_site_label
_atom_site_type_symbol
_atom_site_fract_x
_atom_site_fract_y
_atom_site_fract_z
_atom_site_occupancy
Ho1 Ho 0.0000 0.0000 0.0000 1
In1 In 0.0000 0.0000 0.0953 1
Ga1 Ga 0.0000 0.0000 0.5000 1

# Ho8In2Ga (GGA-PBE, relaxed)
# - VASP energy: -95.8 eV/cell
# - DOS(E_F): 22.88 states/eV/cell
data_Ho8In2Ga
_chemical_formula_sum 'Ho16 In4 Ga2'
_cell_length_a 18.564
_cell_length_b 5.135
_cell_length_c 6.741
_cell_angle_alpha 90.00
_cell_angle_beta 103.64
_cell_angle_gamma 90.00
_symmetry_space_group_name_H-M 'C 1 2/m 1'
_symmetry_Int_Tables_number 12
loop_
_symmetry_equiv_pos_as_xyz
'x,y,z'
'-x,-y,-z'
'-x,y,-z'
'x,-y,z'
'x+1/2,y+1/2,z'
'-x+1/2,-y+1/2,-z'
'-x+1/2,y+1/2,-z'
'x+1/2,-y+1/2,z'
loop_
_atom_site_label
_atom_site_type_symbol
_atom_site_fract_x
_atom_site_fract_y
_atom_site_fract_z
_atom_site_occupancy
Ho1 Ho 0.017 0.000 0.269 1
Ho2 Ho 0.091 0.500 0.958 1
Ho3 Ho 0.153 0.500 0.474 1
Ho4 Ho 0.206 0.000 0.800 1
In1 In 0.185 0.000 0.244 1
Ga1 Ga 0.000 0.500 0.500 1

Q: Which of these has the highest DOS(E_F)?
A: Ho8In2Ga

Q: The highest DOS(E_F) belongs to which entry?
A: Ho8In2Ga

Q: Which of these has the highest DOS(E_F)?
A: Ho8In2Ga